Computed, not measured: a relaxed structure of Ho2MnSi4Ni3 at the PBE level of DFT.

formation energy (no corrections): -7.8 eV/f.u.
calculated total energy: -6.513 eV/atom

Cell: 3.915 3.915 9.745 Å, 90.00 90.00 90.00°
Atoms (fractional coordinates):
Ho (0.000, 0.500, 0.244)
Ho (0.500, 0.000, 0.756)
Mn (0.000, 0.000, 0.500)
Si (0.000, 0.000, 0.000)
Si (0.000, 0.500, 0.636)
Si (0.500, 0.000, 0.364)
Si (0.500, 0.500, 0.000)
Ni (0.000, 0.500, 0.874)
Ni (0.500, 0.000, 0.126)
Ni (0.500, 0.500, 0.500)


Computed, not measured: a relaxed structure of NpP2Pt5 at the PBE level of DFT.

ΔE_f: -48.32 kJ per mole of atoms
calculated total energy: -7.246 eV/atom

Cell: 4.104 6.979 9.480 Å, 90.00 90.00 90.00°
Atoms (fractional coordinates):
Np (0.000, 0.000, 0.000)
Np (0.500, 0.500, 0.500)
P (0.000, 0.500, 0.249)
P (0.000, 0.500, 0.751)
P (0.500, 0.000, 0.251)
P (0.500, 0.000, 0.749)
Pt (0.000, 0.208, 0.353)
Pt (0.000, 0.208, 0.647)
Pt (0.000, 0.500, 0.000)
Pt (0.000, 0.792, 0.353)
Pt (0.000, 0.792, 0.647)
Pt (0.500, 0.000, 0.500)
Pt (0.500, 0.292, 0.147)
Pt (0.500, 0.292, 0.853)
Pt (0.500, 0.708, 0.147)
Pt (0.500, 0.708, 0.853)


Computed, not measured: a relaxed structure of La4Pm2Sm2Y at the PBE level of DFT.

ΔE_f: 1.99 kJ per mole of atoms
calculated total energy: -4.992 eV/atom

Cell: 8.244 8.244 8.199 Å, 107.70 107.70 36.92°
Atoms (fractional coordinates):
La (0.054, 0.054, 0.332)
La (0.277, 0.277, 0.668)
La (0.723, 0.723, 0.332)
La (0.946, 0.946, 0.668)
Pm (0.388, 0.388, 0.330)
Pm (0.612, 0.612, 0.670)
Sm (0.167, 0.167, 0.000)
Sm (0.833, 0.833, 0.000)
Y (0.500, 0.500, 0.000)


Computed, not measured: a relaxed structure of La4Pr2Th at the PBE level of DFT.

ΔE_f: 25.30 kJ per mole of atoms
energy above the lowest structure with this stoichiometry: 18.6 kJ/mol of atoms
calculated total energy: -4.979 eV/atom

Cell: 12.468 12.468 12.468 Å, 132.17 132.17 69.95°
Atoms (fractional coordinates):
La (0.000, 0.000, 0.000)
La (0.000, 0.000, 0.500)
La (0.000, 0.500, 0.000)
La (0.121, 0.371, 0.750)
La (0.173, 0.423, 0.345)
La (0.173, 0.827, 0.750)
La (0.371, 0.121, 0.250)
La (0.423, 0.173, 0.845)
La (0.423, 0.577, 0.250)
La (0.500, 0.000, 0.500)
La (0.577, 0.423, 0.750)
La (0.577, 0.827, 0.155)
La (0.629, 0.879, 0.750)
La (0.827, 0.173, 0.250)
La (0.827, 0.577, 0.655)
La (0.879, 0.629, 0.250)
Pr (0.187, 0.212, 0.975)
Pr (0.212, 0.187, 0.475)
Pr (0.212, 0.736, 0.025)
Pr (0.264, 0.788, 0.475)
Pr (0.736, 0.212, 0.525)
Pr (0.788, 0.264, 0.975)
Pr (0.788, 0.813, 0.525)
Pr (0.813, 0.788, 0.025)
Th (0.000, 0.500, 0.500)
Th (0.500, 0.000, 0.000)
Th (0.500, 0.500, 0.000)
Th (0.500, 0.500, 0.500)


Computed, not measured: a relaxed structure of TeP2Se6 at the PBE level of DFT.

formation energy (no corrections): 1.1 eV/f.u.
calculated total energy: -3.754 eV/atom

Cell: 8.725 8.725 8.306 Å, 107.41 107.41 89.05°
Atoms (fractional coordinates):
Te (0.122, 0.878, 0.750)
Te (0.878, 0.122, 0.250)
P (0.219, 0.377, 0.724)
P (0.377, 0.219, 0.224)
P (0.623, 0.781, 0.776)
P (0.781, 0.623, 0.276)
Se (0.005, 0.788, 0.364)
Se (0.046, 0.584, 0.745)
Se (0.212, 0.995, 0.136)
Se (0.347, 0.371, 0.047)
Se (0.371, 0.347, 0.547)
Se (0.416, 0.954, 0.755)
Se (0.584, 0.046, 0.245)
Se (0.629, 0.653, 0.453)
Se (0.653, 0.629, 0.953)
Se (0.788, 0.005, 0.864)
Se (0.954, 0.416, 0.255)
Se (0.995, 0.212, 0.636)


Computed, not measured: a relaxed structure of CaHfIO2 at the PBE level of DFT.

formation energy (no corrections): -9.4 eV/f.u.
energy above the lowest structure with this stoichiometry: 0.0 kJ/mol of atoms
calculated total energy: -6.559 eV/atom

Cell: 4.160 4.160 6.100 Å, 90.00 90.00 90.00°
Atoms (fractional coordinates):
Ca (0.000, 0.000, 0.000)
Hf (0.500, 0.500, 0.500)
I (0.500, 0.500, 0.000)
O (0.000, 0.500, 0.500)
O (0.500, 0.000, 0.500)


Computed, not measured: a relaxed structure of Tl2IrO4 at the PBE level of DFT.

formation energy (no corrections): -4.1 eV/f.u.
energy above the lowest structure with this stoichiometry: 0.0 kJ/mol of atoms
calculated total energy: -5.359 eV/atom

Cell: 3.836 3.836 15.205 Å, 90.00 90.00 90.00°
Atoms (fractional coordinates):
Tl (0.000, 0.000, 0.161)
Tl (0.000, 0.000, 0.839)
Tl (0.500, 0.500, 0.339)
Tl (0.500, 0.500, 0.661)
Ir (0.000, 0.000, 0.500)
Ir (0.500, 0.500, 0.000)
O (0.000, 0.000, 0.370)
O (0.000, 0.000, 0.630)
O (0.000, 0.500, 0.000)
O (0.000, 0.500, 0.500)
O (0.500, 0.000, 0.000)
O (0.500, 0.000, 0.500)
O (0.500, 0.500, 0.130)
O (0.500, 0.500, 0.870)


Computed, not measured: a relaxed structure of PrNd4Tm2 at the PBE level of DFT.

ΔE_f: 22.28 kJ per mole of atoms
energy above the lowest structure with this stoichiometry: 16.3 kJ/mol of atoms
calculated total energy: -4.454 eV/atom

Cell: 9.084 9.084 9.084 Å, 135.16 101.52 95.24°
Atoms (fractional coordinates):
Pr (0.000, 0.000, 0.000)
Pr (0.500, 0.000, 0.500)
Nd (0.153, 0.647, 0.506)
Nd (0.241, 0.272, 0.531)
Nd (0.241, 0.710, 0.969)
Nd (0.359, 0.353, 0.006)
Nd (0.641, 0.647, 0.994)
Nd (0.759, 0.290, 0.031)
Nd (0.759, 0.728, 0.469)
Nd (0.847, 0.353, 0.494)
Tm (0.030, 0.780, 0.250)
Tm (0.500, 0.000, 0.000)
Tm (0.500, 0.500, 0.500)
Tm (0.970, 0.220, 0.750)


Computed, not measured: a relaxed structure of Ac2TbDySe4 at the PBE level of DFT.

formation energy (no corrections): -14.5 eV/f.u.
calculated total energy: -5.731 eV/atom

Cell: 7.225 4.151 7.747 Å, 90.00 108.01 90.00°
Atoms (fractional coordinates):
Ac (0.000, 0.000, 0.000)
Ac (0.500, 0.500, 0.000)
Tb (0.000, 0.500, 0.500)
Dy (0.500, 0.000, 0.500)
Se (0.241, 0.000, 0.720)
Se (0.261, 0.500, 0.280)
Se (0.739, 0.500, 0.720)
Se (0.759, 0.000, 0.280)


Computed, not measured: a relaxed structure of TbCe4Pr3Se8 at the PBE level of DFT.

formation energy (no corrections): -29.2 eV/f.u.
calculated total energy: -6.239 eV/atom

Cell: 8.439 8.439 8.439 Å, 59.89 59.89 59.89°
Atoms (fractional coordinates):
Tb (0.000, 0.000, 0.000)
Ce (0.000, 0.000, 0.500)
Ce (0.000, 0.500, 0.000)
Ce (0.500, 0.000, 0.000)
Ce (0.500, 0.500, 0.500)
Pr (0.000, 0.500, 0.500)
Pr (0.500, 0.000, 0.500)
Pr (0.500, 0.500, 0.000)
Se (0.243, 0.754, 0.754)
Se (0.246, 0.246, 0.757)
Se (0.246, 0.757, 0.246)
Se (0.248, 0.248, 0.248)
Se (0.752, 0.752, 0.752)
Se (0.754, 0.243, 0.754)
Se (0.754, 0.754, 0.243)
Se (0.757, 0.246, 0.246)


Computed, not measured: a relaxed structure of ZnH2NCl at the PBE level of DFT.

calculated total energy: -3.827 eV/atom

Cell: 5.653 5.653 6.312 Å, 90.00 90.00 146.39°
Atoms (fractional coordinates):
Zn (0.044, 0.956, 0.750)
Zn (0.956, 0.044, 0.250)
H (0.408, 0.592, 0.546)
H (0.408, 0.592, 0.954)
H (0.592, 0.408, 0.046)
H (0.592, 0.408, 0.454)
N (0.500, 0.500, 0.000)
N (0.500, 0.500, 0.500)
Cl (0.254, 0.746, 0.750)
Cl (0.746, 0.254, 0.250)


Computed, not measured: a relaxed structure of Y3MgN at the PBE level of DFT.

formation energy (no corrections): -3.0 eV/f.u.
energy above the lowest structure with this stoichiometry: 11.3 kJ/mol of atoms
calculated total energy: -6.467 eV/atom

Cell: 5.762 3.545 11.835 Å, 90.00 97.16 90.00°
Atoms (fractional coordinates):
Y (0.183, 0.000, 0.119)
Y (0.209, 0.500, 0.413)
Y (0.286, 0.000, 0.662)
Y (0.714, 0.000, 0.338)
Y (0.791, 0.500, 0.587)
Y (0.817, 0.000, 0.881)
Mg (0.296, 0.500, 0.897)
Mg (0.704, 0.500, 0.103)
N (0.000, 0.000, 0.500)
N (0.000, 0.500, 0.000)


Computed, not measured: a relaxed structure of Rb2PCI6 at the PBE level of DFT.

formation energy (no corrections): -0.7 eV/f.u.
calculated total energy: -2.653 eV/atom

Cell: 7.841 7.841 7.841 Å, 119.88 119.88 90.21°
Atoms (fractional coordinates):
Rb (0.250, 0.750, 0.500)
Rb (0.750, 0.250, 0.500)
P (0.000, 0.000, 0.000)
C (0.500, 0.500, 0.000)
I (0.256, 0.256, 0.000)
I (0.256, 0.256, 0.512)
I (0.256, 0.744, 0.000)
I (0.744, 0.256, 0.000)
I (0.744, 0.744, 0.000)
I (0.744, 0.744, 0.488)


Computed, not measured: a relaxed structure of CuPt2Pb at the PBE level of DFT.

ΔE_f: 10.16 kJ per mole of atoms
calculated total energy: -4.866 eV/atom

Cell: 3.995 3.995 18.665 Å, 90.00 90.00 90.00°
Atoms (fractional coordinates):
Cu (0.000, 0.000, 0.000)
Cu (0.000, 0.500, 0.250)
Cu (0.500, 0.000, 0.750)
Cu (0.500, 0.500, 0.500)
Pt (0.225, 0.250, 0.125)
Pt (0.250, 0.725, 0.375)
Pt (0.250, 0.775, 0.875)
Pt (0.275, 0.250, 0.625)
Pt (0.725, 0.750, 0.625)
Pt (0.750, 0.225, 0.875)
Pt (0.750, 0.275, 0.375)
Pt (0.775, 0.750, 0.125)
Pb (0.000, 0.000, 0.500)
Pb (0.000, 0.500, 0.750)
Pb (0.500, 0.000, 0.250)
Pb (0.500, 0.500, 0.000)


Computed, not measured: a relaxed structure of BaPmIrO6 at the PBE level of DFT.

formation energy (no corrections): -16.6 eV/f.u.
calculated total energy: -6.871 eV/atom

Cell: 5.734 5.734 5.586 Å, 90.00 90.00 120.00°
Atoms (fractional coordinates):
Ba (0.000, 0.000, 0.000)
Pm (0.333, 0.667, 0.500)
Ir (0.667, 0.333, 0.500)
O (0.397, 0.051, 0.698)
O (0.397, 0.346, 0.302)
O (0.654, 0.051, 0.302)
O (0.654, 0.603, 0.698)
O (0.949, 0.346, 0.698)
O (0.949, 0.603, 0.302)


Computed, not measured: a relaxed structure of Li3N at the PBE level of DFT.

formation energy (no corrections): 0.5 eV/f.u.
energy above the lowest structure with this stoichiometry: 46.1 kJ/mol of atoms
calculated total energy: -3.401 eV/atom

Cell: 3.306 3.306 3.306 Å, 90.00 90.00 90.00°
Atoms (fractional coordinates):
Li (0.000, 0.000, 0.500)
Li (0.000, 0.500, 0.000)
Li (0.500, 0.000, 0.000)
N (0.500, 0.500, 0.500)


Computed, not measured: a relaxed structure of Mn3ZnIn at the PBE level of DFT.

ΔE_f: 73.33 kJ per mole of atoms
calculated total energy: -5.544 eV/atom

Cell: 4.589 4.589 4.589 Å, 90.00 90.00 90.00°
Atoms (fractional coordinates):
Mn (0.000, 0.000, 0.500)
Mn (0.000, 0.500, 0.000)
Mn (0.500, 0.000, 0.000)
Zn (0.000, 0.000, 0.000)
In (0.500, 0.500, 0.500)


Computed, not measured: a relaxed structure of Sc3Ga4Ag2 at the PBE level of DFT.

ΔE_f: -47.02 kJ per mole of atoms
calculated total energy: -4.577 eV/atom

Cell: 5.541 5.541 8.324 Å, 115.00 115.00 47.50°
Atoms (fractional coordinates):
Sc (0.000, 0.000, 0.000)
Sc (0.336, 0.336, 0.335)
Sc (0.664, 0.664, 0.665)
Ga (0.042, 0.042, 0.376)
Ga (0.256, 0.256, 0.925)
Ga (0.744, 0.744, 0.075)
Ga (0.958, 0.958, 0.624)
Ag (0.385, 0.385, 0.720)
Ag (0.615, 0.615, 0.280)


Computed, not measured: a relaxed structure of PmHo2Co at the PBE level of DFT.

ΔE_f: 12.32 kJ per mole of atoms
energy above the lowest structure with this stoichiometry: 26.3 kJ/mol of atoms
calculated total energy: -5.125 eV/atom

Cell: 3.617 3.617 30.926 Å, 90.00 90.00 120.00°
Atoms (fractional coordinates):
Pm (0.000, 0.000, 0.000)
Pm (0.333, 0.667, 0.667)
Pm (0.667, 0.333, 0.333)
Ho (0.000, 0.000, 0.116)
Ho (0.000, 0.000, 0.884)
Ho (0.333, 0.667, 0.551)
Ho (0.333, 0.667, 0.782)
Ho (0.667, 0.333, 0.218)
Ho (0.667, 0.333, 0.449)
Co (0.000, 0.000, 0.500)
Co (0.333, 0.667, 0.167)
Co (0.667, 0.333, 0.833)


Computed, not measured: a relaxed structure of Na2BeZnI at the PBE level of DFT.

formation energy (no corrections): 3.0 eV/f.u.
calculated total energy: -1.236 eV/atom

Cell: 5.686 5.686 5.780 Å, 90.00 90.00 90.00°
Atoms (fractional coordinates):
Na (0.000, 0.500, 0.000)
Na (0.500, 0.000, 0.000)
Be (0.000, 0.000, 0.500)
Zn (0.500, 0.500, 0.000)
I (0.500, 0.500, 0.500)


Computed, not measured: a relaxed structure of TlVCu2 at the PBE level of DFT.

ΔE_f: 39.04 kJ per mole of atoms
energy above the lowest structure with this stoichiometry: 0.0 kJ/mol of atoms
calculated total energy: -4.515 eV/atom

Cell: 6.286 6.286 6.286 Å, 90.00 90.00 90.00°
Atoms (fractional coordinates):
Tl (0.000, 0.000, 0.000)
Tl (0.000, 0.500, 0.500)
Tl (0.500, 0.000, 0.500)
Tl (0.500, 0.500, 0.000)
V (0.000, 0.000, 0.500)
V (0.000, 0.500, 0.000)
V (0.500, 0.000, 0.000)
V (0.500, 0.500, 0.500)
Cu (0.250, 0.250, 0.250)
Cu (0.250, 0.250, 0.750)
Cu (0.250, 0.750, 0.250)
Cu (0.250, 0.750, 0.750)
Cu (0.750, 0.250, 0.250)
Cu (0.750, 0.250, 0.750)
Cu (0.750, 0.750, 0.250)
Cu (0.750, 0.750, 0.750)


Computed, not measured: a relaxed structure of Zr2GaPb at the PBE level of DFT.

ΔE_f: -26.91 kJ per mole of atoms
calculated total energy: -6.237 eV/atom

Cell: 4.475 4.475 4.299 Å, 90.00 90.00 90.00°
Atoms (fractional coordinates):
Zr (0.000, 0.500, 0.000)
Zr (0.500, 0.000, 0.000)
Ga (0.000, 0.000, 0.500)
Pb (0.500, 0.500, 0.500)


Computed, not measured: a relaxed structure of Pm2TmBi3 at the PBE level of DFT.

ΔE_f: -85.11 kJ per mole of atoms
energy above the lowest structure with this stoichiometry: 0.2 kJ/mol of atoms
calculated total energy: -5.151 eV/atom

Cell: 7.847 7.847 9.061 Å, 106.79 106.79 48.23°
Atoms (fractional coordinates):
Pm (0.168, 0.168, 0.084)
Pm (0.168, 0.168, 0.584)
Pm (0.832, 0.832, 0.416)
Pm (0.832, 0.832, 0.916)
Tm (0.499, 0.501, 0.750)
Tm (0.501, 0.499, 0.250)
Bi (0.000, 0.000, 0.250)
Bi (0.000, 0.000, 0.750)
Bi (0.339, 0.339, 0.419)
Bi (0.339, 0.339, 0.919)
Bi (0.661, 0.661, 0.081)
Bi (0.661, 0.661, 0.581)